## ZnReAg2Pd (PBE)

Data for an optimized crystal structure of ZnReAg2Pd.

Lattice parameters (Å, degrees): 5.062 4.779 5.062 90.00 90.00 90.00
Last column: magnetic moment on the atom in μB.
Fractional positions:
1 Pd 0.000 0.000 0.000  0.13
2 Re 0.000 0.500 0.000  2.18
3 Ag 0.000 0.000 0.500  0.02
4 Ag 0.500 0.000 0.000  0.00
5 Zn 0.500 0.500 0.500  -0.01

Output
Energy relative to the elements: 7.1 eV per formula unit
Crystal system: tetragonal